# 1
# MgPa2PtN5

A relaxed structure of MgPa2PtN5 (PBE, the Alexandria database). Values from VASP.

Values from the calculation:
- spin magnetization (μB/cell) = 0.0
- density of states at the Fermi level (states/eV per cell) = 4.21
- formation energy from raw total energies (eV per formula unit) = -7.7
- uncorrected energy (eV per atom) = -8.4368

The structure in Quantum ESPRESSO input format:
```
&SYSTEM
  ibrav = 0, nat = 18, ntyp = 4
/
ATOMIC_SPECIES
Mg 24.30 Mg.upf
Pa 231.04 Pa.upf
Pt 195.08 Pt.upf
N 14.01 N.upf
CELL_PARAMETERS angstrom
3.405 0.000 0.000
-1.703 6.498 0.000
0.000 0.000 10.099
ATOMIC_POSITIONS angstrom
Mg 1.703 3.815 5.080
Mg 0.000 2.683 0.030
Pa 1.703 4.516 8.031
Pa 0.000 1.330 6.889
Pa 0.000 1.982 2.982
Pa 1.703 5.168 1.839
Pt 1.703 0.345 9.614
Pt 0.000 6.153 4.565
N 0.000 4.787 0.068
N 1.703 2.290 8.708
N 0.000 6.235 7.717
N 0.000 3.568 6.828
N 1.703 5.742 5.884
N 1.703 1.711 5.118
N 0.000 4.208 3.658
N 1.703 0.263 2.667
N 1.703 2.930 1.778
N 0.000 0.756 0.834
```

***

# 2
# Pu3MgPa2N6

A relaxed structure of Pu3MgPa2N6 (PBE, the Alexandria database). Values from VASP.

Values from the calculation:
- spin magnetization (μB/cell) = 16.5
- density of states at the Fermi level (states/eV per cell) = 14.58
- formation energy from raw total energies (eV per formula unit) = -15.6
- uncorrected energy (eV per atom) = -10.7594

The structure in Quantum ESPRESSO input format:
```
&SYSTEM
  ibrav = 0, nat = 12, ntyp = 4
/
ATOMIC_SPECIES
Pu 244.00 Pu.upf
Mg 24.30 Mg.upf
Pa 231.04 Pa.upf
N 14.01 N.upf
CELL_PARAMETERS angstrom
-3.723 -1.304 -4.514
5.759 -1.642 -0.285
-1.960 -3.967 4.077
ATOMIC_POSITIONS angstrom
Pu 3.237 -3.570 1.066
Pu -3.161 -3.342 -1.788
Pu 0.038 -3.456 -0.361
Mg 0.000 0.000 0.000
Pa 2.601 -1.529 -1.694
Pa -0.565 -1.416 -3.105
N -1.568 -5.195 -1.208
N 1.054 -3.110 -2.610
N 1.644 -1.718 0.486
N 1.634 -5.309 0.221
N -0.977 -3.803 1.888
N -1.558 -1.604 -0.943
```

***

# 3
# Pu2MgPaN4

A relaxed structure of Pu2MgPaN4 (PBE, the Alexandria database). Values from VASP.

Values from the calculation:
- spin magnetization (μB/cell) = 0.1
- density of states at the Fermi level (states/eV per cell) = 14.50
- formation energy from raw total energies (eV per formula unit) = -9.3
- uncorrected energy (eV per atom) = -10.2995

The structure in Quantum ESPRESSO input format:
```
&SYSTEM
  ibrav = 0, nat = 8, ntyp = 4
/
ATOMIC_SPECIES
Pu 244.00 Pu.upf
Mg 24.30 Mg.upf
Pa 231.04 Pa.upf
N 14.01 N.upf
CELL_PARAMETERS angstrom
-1.966 2.693 1.025
0.885 -1.473 5.571
4.269 3.777 -1.739
ATOMIC_POSITIONS angstrom
Pu 1.152 3.235 -0.357
Pu 2.577 1.152 1.916
Mg -0.540 0.610 3.298
Pa 0.000 0.000 0.000
N 0.234 1.860 1.496
N 2.954 3.137 3.360
N 3.430 2.491 0.032
N 1.724 -0.187 3.800
```

***

# 4
# MgPa2ReN6

A relaxed structure of MgPa2ReN6 (PBE, the Alexandria database). Values from VASP.

Values from the calculation:
- spin magnetization (μB/cell) = 1.0
- density of states at the Fermi level (states/eV per cell) = 2.02
- formation energy from raw total energies (eV per formula unit) = -7.8
- uncorrected energy (eV per atom) = -9.0831

The structure in Quantum ESPRESSO input format:
```
&SYSTEM
  ibrav = 0, nat = 10, ntyp = 4
/
ATOMIC_SPECIES
Mg 24.30 Mg.upf
Pa 231.04 Pa.upf
Re 186.21 Re.upf
N 14.01 N.upf
CELL_PARAMETERS angstrom
5.007 0.000 0.000
0.000 5.286 0.000
0.000 0.000 5.286
ATOMIC_POSITIONS angstrom
Mg 2.822 2.643 2.643
Pa 4.935 2.643 0.000
Pa 4.935 0.000 2.643
Re 2.912 0.000 0.000
N 3.701 1.274 1.274
N 3.701 1.274 4.012
N 0.770 2.643 2.643
N 1.104 0.000 0.000
N 3.701 4.012 4.012
N 3.701 4.012 1.274
```

***

# 5
# Mg3Pa3RhN8

A relaxed structure of Mg3Pa3RhN8 (PBE, the Alexandria database). Values from VASP.

Values from the calculation:
- spin magnetization (μB/cell) = 0.0
- formation energy from raw total energies (eV per formula unit) = -14.4
- uncorrected energy (eV per atom) = -8.1073

The structure in Quantum ESPRESSO input format:
```
&SYSTEM
  ibrav = 0, nat = 15, ntyp = 4
/
ATOMIC_SPECIES
Mg 24.30 Mg.upf
Pa 231.04 Pa.upf
Rh 102.91 Rh.upf
N 14.01 N.upf
CELL_PARAMETERS angstrom
6.728 0.000 0.000
-3.364 5.827 -0.021
0.000 -3.866 5.196
ATOMIC_POSITIONS angstrom
Mg 0.000 0.000 0.000
Mg -1.682 2.913 -0.011
Mg 1.682 2.913 -0.011
Pa 3.364 -1.933 2.598
Pa 1.682 0.980 2.588
Pa -1.682 0.980 2.588
Rh 0.000 -1.933 2.598
N 0.000 1.947 1.280
N 3.364 0.014 3.895
N 3.364 2.008 1.408
N 0.000 -0.048 3.768
N 5.099 -0.997 1.419
N -1.735 2.957 3.757
N 1.629 -0.997 1.419
N 1.735 2.957 3.757
```

***

# 6
# Mg4Pa3RhN8

A relaxed structure of Mg4Pa3RhN8 (PBE, the Alexandria database). Values from VASP.

Values from the calculation:
- spin magnetization (μB/cell) = 0.0
- formation energy from raw total energies (eV per formula unit) = -16.3
- uncorrected energy (eV per atom) = -7.8216

The structure in Quantum ESPRESSO input format:
```
&SYSTEM
  ibrav = 0, nat = 16, ntyp = 4
/
ATOMIC_SPECIES
Mg 24.30 Mg.upf
Pa 231.04 Pa.upf
Rh 102.91 Rh.upf
N 14.01 N.upf
CELL_PARAMETERS angstrom
-1.993 4.698 -3.828
-4.813 1.159 3.928
6.649 0.459 2.416
ATOMIC_POSITIONS angstrom
Mg -0.996 2.349 -1.914
Mg 2.328 2.578 -0.706
Mg 0.000 0.000 0.000
Mg 3.325 0.229 1.208
Pa -3.403 2.928 0.050
Pa -0.078 3.158 1.259
Pa 0.918 0.809 3.172
Rh -2.407 0.579 1.964
N 2.397 2.252 4.256
N -0.501 2.568 3.412
N 1.834 1.832 1.293
N 1.370 4.674 2.283
N -1.526 1.642 0.234
N -1.991 4.484 1.224
N 0.344 3.748 -0.895
N -2.554 4.063 -1.739
```

***

# 7
# Mg3Pa2RhN6

A relaxed structure of Mg3Pa2RhN6 (PBE, the Alexandria database). Values from VASP.

Values from the calculation:
- spin magnetization (μB/cell) = 1.0
- density of states at the Fermi level (states/eV per cell) = 3.87
- formation energy from raw total energies (eV per formula unit) = -11.4
- uncorrected energy (eV per atom) = -7.7066

The structure in Quantum ESPRESSO input format:
```
&SYSTEM
  ibrav = 0, nat = 12, ntyp = 4
/
ATOMIC_SPECIES
Mg 24.30 Mg.upf
Pa 231.04 Pa.upf
Rh 102.91 Rh.upf
N 14.01 N.upf
CELL_PARAMETERS angstrom
-0.776 2.387 -2.365
1.812 -4.062 -4.694
-6.414 -2.508 2.088
ATOMIC_POSITIONS angstrom
Mg 0.518 -0.837 -3.530
Mg -4.675 -0.392 -1.376
Mg -0.703 -3.790 -3.595
Pa -3.822 -2.537 -3.821
Pa -1.556 -1.645 -1.150
Rh -0.388 1.194 -1.183
N -2.873 -4.635 -3.735
N -1.687 -1.544 -3.519
N -2.504 0.453 -1.236
N -6.658 -1.104 -1.445
N 1.280 -3.077 -3.526
N -3.690 -2.638 -1.452
```

***

# 8
# Mg2PaRhN4

A relaxed structure of Mg2PaRhN4 (PBE, the Alexandria database). Values from VASP.

Values from the calculation:
- spin magnetization (μB/cell) = 0.0
- density of states at the Fermi level (states/eV per cell) = 3.96
- formation energy from raw total energies (eV per formula unit) = -4.4
- uncorrected energy (eV per atom) = -7.2188

The structure in Quantum ESPRESSO input format:
```
&SYSTEM
  ibrav = 0, nat = 16, ntyp = 4
/
ATOMIC_SPECIES
Mg 24.30 Mg.upf
Pa 231.04 Pa.upf
Rh 102.91 Rh.upf
N 14.01 N.upf
CELL_PARAMETERS angstrom
3.326 0.000 0.000
-1.663 5.839 0.000
0.000 0.000 10.430
ATOMIC_POSITIONS angstrom
Mg 0.000 4.554 5.658
Mg 1.663 1.285 0.443
Mg 1.663 1.285 4.772
Mg 0.000 4.554 9.987
Pa 0.000 0.937 7.823
Pa 1.663 4.903 2.608
Rh 1.663 3.693 7.823
Rh 0.000 2.146 2.608
N 0.000 3.713 1.422
N 1.663 2.126 6.637
N 1.663 2.126 9.008
N 0.000 3.713 3.793
N 0.000 0.000 5.215
N 0.000 0.000 0.000
N 0.000 5.005 7.823
N 1.663 0.834 2.608
```

***

# 9
# Mg2PaRuN4

A relaxed structure of Mg2PaRuN4 (PBE, the Alexandria database). Values from VASP.

Values from the calculation:
- spin magnetization (μB/cell) = 0.0
- density of states at the Fermi level (states/eV per cell) = 9.54
- formation energy from raw total energies (eV per formula unit) = -4.5
- uncorrected energy (eV per atom) = -7.4660

The structure in Quantum ESPRESSO input format:
```
&SYSTEM
  ibrav = 0, nat = 16, ntyp = 4
/
ATOMIC_SPECIES
Mg 24.30 Mg.upf
Pa 231.04 Pa.upf
Ru 101.07 Ru.upf
N 14.01 N.upf
CELL_PARAMETERS angstrom
-0.312 -3.052 -1.146
4.112 2.647 -3.490
7.595 -3.220 6.506
ATOMIC_POSITIONS angstrom
Mg 7.154 -0.868 0.362
Mg 1.034 -1.398 -1.239
Mg 4.241 -2.757 1.508
Mg 10.360 -2.227 3.109
Pa 6.400 -2.216 4.157
Pa 4.995 -1.409 -2.287
Ru 8.128 -3.208 1.649
Ru 3.267 -0.417 0.221
N 3.393 0.248 -1.584
N 6.223 -3.119 1.930
N 8.001 -3.873 3.454
N 5.172 -0.506 -0.060
N 3.798 -1.610 3.253
N 0.000 0.000 0.000
N 9.157 -1.434 1.325
N 2.238 -2.191 0.544
```